Ce7Ga2C2 after structural relaxation. Source: Alexandria via LeMat-Bulk, functional PBE.

Lattice parameters (Å, degrees): 6.3884 6.4264 6.3884 90.00 108.58 90.00
With the nearest neighbours (Å) after each atom.
Fractional positions:
C (0.7437, 0.0000, 0.2563)  5 Ce 2.51-2.66
C (0.2563, 0.0000, 0.7437)  5 Ce 2.51-2.66
Ce (0.5000, 0.7836, 0.5000)  1 Ce 2.78, 2 C 2.89, 2 Ga 3.09
Ce (0.5000, 0.7397, 0.0000)  2 C 2.51
Ce (0.0000, 0.2603, 0.5000)  2 C 2.51
Ce (0.5000, 0.2164, 0.5000)  1 Ce 2.78, 2 C 2.89, 2 Ga 3.09
Ce (0.5000, 0.2603, 0.0000)  2 C 2.51
Ce (0.0000, 0.0000, 0.0000)  2 C 2.66
Ce (0.0000, 0.7397, 0.5000)  2 C 2.51
Ga (0.1652, 0.5000, 0.1652)  1 Ga 2.46
Ga (0.8348, 0.5000, 0.8348)  1 Ga 2.46

## Properties
Formation enthalpy at 0 K (meV per atom): -136
Calculated density (g/cm³): 7.64